DFT (PBE with a Hubbard U) results for a relaxed CsPrMo2O8 crystal.

Results
symmetry: Pccm (49)
D(E_F): 0.000 states/eV/atom
raw total energy: -7.114 eV per atom

Cell: 5.193 9.821 8.461 Å, 90.00 90.00 90.00°
Element x y z (fractional)
1 Cs 0.000 0.000 0.250
2 Cs 0.000 0.000 0.750
3 Pr 0.000 0.500 0.250
4 Pr 0.000 0.500 0.750
5 Mo 0.481 0.301 0.000
6 Mo 0.481 0.699 0.500
7 Mo 0.519 0.301 0.500
8 Mo 0.519 0.699 0.000
9 O 0.254 0.429 0.500
10 O 0.254 0.571 0.000
11 O 0.268 0.311 0.169
12 O 0.268 0.311 0.831
13 O 0.268 0.689 0.331
14 O 0.268 0.689 0.669
15 O 0.379 0.138 0.500
16 O 0.379 0.862 0.000
17 O 0.621 0.138 0.000
18 O 0.621 0.862 0.500
19 O 0.732 0.311 0.331
20 O 0.732 0.311 0.669
21 O 0.732 0.689 0.169
22 O 0.732 0.689 0.831
23 O 0.746 0.429 0.000
24 O 0.746 0.571 0.500